The following is a PBE calculation of an optimized crystal structure of CaDyGaAu, from Alexandria via LeMat-Bulk.

Output
The space group is No. 216. For the energy above the most stable polymorph in this dataset, the calculation gives 24 meV/atom. For the total magnetic moment, the calculation gives 0.000 μB/cell. As for the formation energy: -0.65 eV/atom.

Cell: 5.113 5.113 5.113 Å, 60.00 60.00 60.00°
Sites, in units of the cell vectors:
1 Ca 0.000 0.000 0.000
2 Dy 0.500 0.500 0.500
3 Ga 0.750 0.750 0.750
4 Au 0.250 0.250 0.250

=====

The following is a PBE calculation of an optimized crystal structure of CsSiHgSe3, from Alexandria via LeMat-Bulk.

Output
The space group is No. 12. Its uncorrected formation energy is -0.6276 eV/atom. For the total magnetic moment, the calculation gives 0.000 μB/cell.

Cell: 7.859 7.859 8.156 Å, 103.33 103.33 59.94°
Sites, in units of the cell vectors:
1 Cs 0.179 0.179 0.225
2 Cs 0.821 0.821 0.775
3 Si 0.500 0.500 0.146
4 Si 0.500 0.500 0.854
5 Hg 0.273 0.727 0.500
6 Hg 0.727 0.273 0.500
7 Se 0.166 0.656 0.184
8 Se 0.344 0.834 0.816
9 Se 0.346 0.346 0.663
10 Se 0.654 0.654 0.337
11 Se 0.656 0.166 0.184
12 Se 0.834 0.344 0.816

=====

The following is a PBE calculation of an optimized crystal structure of HoTm2Sc, from Alexandria via LeMat-Bulk.

Output
The space group is No. 225. For the energy above the most stable polymorph in this dataset, the calculation gives 116 meV/atom. For the total magnetic moment, the calculation gives 0.441 μB/cell. As for the formation energy: 0.14 eV/atom.

Cell: 5.489 5.489 5.489 Å, 60.00 60.00 60.00°
Sites, in units of the cell vectors:
1 Ho 0.000 0.000 0.000
2 Tm 0.250 0.250 0.250
3 Tm 0.750 0.750 0.750
4 Sc 0.500 0.500 0.500

=====

The following is a PBE calculation of an optimized crystal structure of SrPrCo, from Alexandria via LeMat-Bulk.

Output
The space group is No. 14. For the energy above the most stable polymorph in this dataset, the calculation gives 190 meV/atom. For the total magnetic moment, the calculation gives 0.000 μB/cell. As for the formation energy: 0.20 eV/atom.

Cell: 6.946 8.238 7.208 Å, 90.00 110.12 90.00°
Sites, in units of the cell vectors:
1 Sr 0.242 0.127 0.481
2 Sr 0.242 0.373 0.981
3 Sr 0.758 0.627 0.019
4 Sr 0.758 0.873 0.519
5 Pr 0.284 0.626 0.522
6 Pr 0.284 0.874 0.022
7 Pr 0.716 0.126 0.978
8 Pr 0.716 0.374 0.478
9 Co 0.478 0.624 0.265
10 Co 0.478 0.876 0.765
11 Co 0.522 0.124 0.235
12 Co 0.522 0.376 0.735

=====

The following is a PBE calculation of an optimized crystal structure of YRu2F, from Alexandria via LeMat-Bulk.

Output
The space group is No. 122. For the energy above the most stable polymorph in this dataset, the calculation gives 0 meV/atom. Its uncorrected formation energy is -0.7316 eV/atom. For the total magnetic moment, the calculation gives 0.000 μB/cell.

Cell: 11.441 11.441 11.441 Å, 162.50 162.50 24.85°
Sites, in units of the cell vectors:
1 Y 0.000 0.000 0.000
2 Y 0.750 0.250 0.500
3 Ru 0.121 0.125 0.496
4 Ru 0.375 0.879 0.004
5 Ru 0.629 0.625 0.504
6 Ru 0.875 0.371 0.996
7 F 0.250 0.750 0.500
8 F 0.500 0.500 0.000

=====

The following is a PBE calculation of an optimized crystal structure of HfInHCl2, from Alexandria via LeMat-Bulk.

Output
The space group is No. 123. The value obtained for the total energy is -20.31 eV/f.u. For the total magnetic moment, the calculation gives 1.960 μB/cell.

Cell: 5.255 5.255 3.729 Å, 90.00 90.00 90.00°
Sites, in units of the cell vectors:
1 Hf 0.000 0.000 0.000
2 In 0.500 0.500 0.000
3 H 0.000 0.000 0.500
4 Cl 0.000 0.500 0.500
5 Cl 0.500 0.000 0.500